No. 1
## KSe3 (PBE-GGA)

Data for a relaxed KSe3 crystal.

Unit cell a=3.9982 b=8.0413 c=9.0617 alpha=90.00 beta=90.00 gamma=90.00
Closest atoms and distances in Å follow each position.
Space group Imm2 (No. 44)
One atom of each set of equivalent atoms:
1 K 0.0000 0.0000 0.0000  6 Se 3.36
2 Se 0.0000 0.2647 0.7131  1 Se 2.31
3 Se 0.0000 0.5000 0.8600  2 Se 2.31

## Properties
**E_tot**: -26.6 eV/cell
**Formation energy (no corrections)**: -440.1 meV per atom
**Polymorph energy (0 for the lowest one)**: 35 meV per atom



No. 2
## TaCoRh2 (PBE-GGA)

Data for a relaxed TaCoRh2 crystal.

Unit cell a=9.7700 b=2.8493 c=4.6335 alpha=90.00 beta=117.41 gamma=90.00
Closest atoms and distances in Å follow each position.
Space group Cm (No. 8)
One atom of each set of equivalent atoms:
1 Ta 0.0000 0.0000 0.0000  3 Co 2.63-2.78, 7 Rh 2.65-2.74, 2 Ta 2.85
2 Co 0.2397 0.5000 0.3959  7 Rh 2.63-2.77, 3 Ta 2.63-2.78, 2 Co 2.85
3 Rh 0.2414 0.0000 0.8840  3 Ta 2.65-2.73, 4 Co 2.67-2.77, 5 Rh 2.70-2.85
4 Rh 0.4820 0.0000 0.4868  3 Co 2.63-2.74, 5 Rh 2.70-2.85, 4 Ta 2.71-2.74

## Properties
**E_tot**: -69.1 eV/cell
**ΔH_f (0 K)**: -0.224 eV per atom